# 1
# Tl2CuP | Alexandria | GGA-PBEsol | optimized geometry
# DFT formation energy (eV/f.u.): 1.4
# DOS(E_F) (states/eV/cell): 4.90
# Electronic total energy (Ry/atom): -0.2565
data_Tl2CuP
_cell_length_a 3.9477
_cell_length_b 3.9477
_cell_length_c 18.7080
_cell_angle_alpha 90.00
_cell_angle_beta 90.00
_cell_angle_gamma 120.00
_symmetry_space_group_name_H-M 'R -3 m'
_symmetry_Int_Tables_number 166
_symmetry_space_group_name_Hall '-R 3 2"'
loop_
_atom_site_label
_atom_site_fract_x
_atom_site_fract_y
_atom_site_fract_z
Tl1 0.0000 0.0000 0.2485
Cu1 0.0000 0.0000 0.5000
P1 0.0000 0.0000 0.0000

***

# 2
# CuAsPt2W | Alexandria | GGA-PBEsol | optimized geometry
# DFT formation energy (eV/f.u.): 7.0
# DOS(E_F) (states/eV/cell): 5.38
# Electronic total energy (Ry/atom): -0.4429
data_CuAsPt2W
_cell_length_a 4.519
_cell_length_b 4.519
_cell_length_c 4.442
_cell_angle_alpha 90.00
_cell_angle_beta 90.00
_cell_angle_gamma 90.00
_symmetry_space_group_name_H-M 'P 4/m m m'
_symmetry_Int_Tables_number 123
_symmetry_space_group_name_Hall '-P 4 2'
loop_
_atom_site_label
_atom_site_fract_x
_atom_site_fract_y
_atom_site_fract_z
Cu1 0.000 0.000 0.000
As1 0.500 0.500 0.500
Pt1 0.000 0.500 0.000
W1 0.000 0.000 0.500

***

# 3
# Sc3BiPb | Alexandria | GGA-PBEsol | optimized geometry
# DFT formation energy (eV/f.u.): 0.9
# DOS(E_F) (states/eV/cell): 5.17
# Electronic total energy (Ry/atom): -0.3991
data_Sc3BiPb
_cell_length_a 5.349
_cell_length_b 5.349
_cell_length_c 5.349
_cell_angle_alpha 90.00
_cell_angle_beta 90.00
_cell_angle_gamma 90.00
_symmetry_space_group_name_H-M 'P m -3 m'
_symmetry_Int_Tables_number 221
_symmetry_space_group_name_Hall '-P 4 2 3'
loop_
_atom_site_label
_atom_site_fract_x
_atom_site_fract_y
_atom_site_fract_z
Sc1 0.000 0.000 0.500
Bi1 0.000 0.000 0.000
Pb1 0.500 0.500 0.500

***

# 4
# LiPtS2N | Alexandria | GGA-PBEsol | optimized geometry
# Formation energy from raw total energies (eV/atom): 0.274
# DOS(E_F) (states/eV/cell): 3.53
# Electronic total energy (Ry/atom): -0.3654
data_LiPtS2N
_cell_length_a 4.963
_cell_length_b 4.963
_cell_length_c 3.616
_cell_angle_alpha 90.00
_cell_angle_beta 90.00
_cell_angle_gamma 90.00
_symmetry_space_group_name_H-M 'P 4/m m m'
_symmetry_Int_Tables_number 123
_symmetry_space_group_name_Hall '-P 4 2'
loop_
_atom_site_label
_atom_site_fract_x
_atom_site_fract_y
_atom_site_fract_z
Li1 0.000 0.000 0.000
Pt1 0.500 0.500 0.500
S1 0.000 0.500 0.500
N1 0.500 0.500 0.000

***

# 5
# Y4CI5 | Alexandria | GGA-PBEsol | optimized geometry
# Formation energy from raw total energies (eV/atom): -1.173
# DOS(E_F) (states/eV/cell): 9.92
# Electronic total energy (Ry/atom): -0.4226
data_Y4CI5
_cell_length_a 18.311
_cell_length_b 3.899
_cell_length_c 8.438
_cell_angle_alpha 90.00
_cell_angle_beta 102.90
_cell_angle_gamma 90.00
_symmetry_space_group_name_H-M 'C 1 2/m 1'
_symmetry_Int_Tables_number 12
loop_
_symmetry_equiv_pos_as_xyz
'x,y,z'
'-x,-y,-z'
'-x,y,-z'
'x,-y,z'
'x+1/2,y+1/2,z'
'-x+1/2,-y+1/2,-z'
'-x+1/2,y+1/2,-z'
'x+1/2,-y+1/2,z'
loop_
_atom_site_label
_atom_site_fract_x
_atom_site_fract_y
_atom_site_fract_z
Y1 0.001 0.000 0.309
Y2 0.135 0.500 0.567
C1 0.000 0.500 0.500
I1 0.000 0.500 0.000
I2 0.167 0.000 0.846
I3 0.171 0.000 0.318

***

# 6
# BeTeAsN2 | Alexandria | GGA-PBEsol | optimized geometry
# Formation energy from raw total energies (eV/atom): 1.342
# DOS(E_F) (states/eV/cell): 3.18
# Electronic total energy (Ry/atom): -0.3377
data_BeTeAsN2
_cell_length_a 3.720
_cell_length_b 3.720
_cell_length_c 5.028
_cell_angle_alpha 90.00
_cell_angle_beta 90.00
_cell_angle_gamma 90.00
_symmetry_space_group_name_H-M 'P 4/m m m'
_symmetry_Int_Tables_number 123
_symmetry_space_group_name_Hall '-P 4 2'
loop_
_atom_site_label
_atom_site_fract_x
_atom_site_fract_y
_atom_site_fract_z
Be1 0.000 0.000 0.000
Te1 0.000 0.000 0.500
As1 0.500 0.500 0.500
N1 0.000 0.500 0.000

***

# 7
# KMnH5S2O10 | Alexandria | GGA-PBEsol | optimized geometry
# DOS(E_F) (states/eV/cell): 0.00
# Electronic total energy (Ry/atom): -0.4441
data_KMnH5S2O10
_cell_length_a 4.649
_cell_length_b 5.835
_cell_length_c 8.227
_cell_angle_alpha 103.27
_cell_angle_beta 97.43
_cell_angle_gamma 98.28
_symmetry_space_group_name_H-M 'P 1'
_symmetry_Int_Tables_number 1
loop_
_symmetry_equiv_pos_as_xyz
'x,y,z'
loop_
_atom_site_label
_atom_site_fract_x
_atom_site_fract_y
_atom_site_fract_z
K1 0.000 0.000 0.000
Mn1 0.977 0.002 0.506
H1 0.027 0.656 0.680
H2 0.334 0.703 0.610
H3 0.475 0.510 0.008
H4 0.618 0.296 0.405
H5 0.919 0.341 0.328
S1 0.352 0.678 0.258
S2 0.599 0.321 0.752
O1 0.166 0.776 0.644
O2 0.169 0.440 0.225
O3 0.180 0.873 0.290
O4 0.360 0.288 0.605
O5 0.469 0.307 0.909
O6 0.479 0.695 0.098
O7 0.595 0.712 0.402
O8 0.772 0.126 0.720
O9 0.783 0.222 0.366
O10 0.784 0.559 0.784

***

# 8
# Mg2ScAg | Alexandria | GGA-PBEsol | optimized geometry
# DFT formation energy (eV/f.u.): -0.4
# DOS(E_F) (states/eV/cell): 5.21
# Electronic total energy (Ry/atom): -0.2530
data_Mg2ScAg
_cell_length_a 3.229
_cell_length_b 5.010
_cell_length_c 10.193
_cell_angle_alpha 90.00
_cell_angle_beta 90.00
_cell_angle_gamma 90.00
_symmetry_space_group_name_H-M 'I m m m'
_symmetry_Int_Tables_number 71
_symmetry_space_group_name_Hall '-I 2 2'
loop_
_atom_site_label
_atom_site_fract_x
_atom_site_fract_y
_atom_site_fract_z
Mg1 0.000 0.000 0.222
Sc1 0.000 0.500 0.000
Ag1 0.000 0.500 0.500

***

# 9
# LiRe2Ru | Alexandria | GGA-PBEsol | optimized geometry
# DFT formation energy (eV/f.u.): 1.0
# DOS(E_F) (states/eV/cell): 2.79
# Electronic total energy (Ry/atom): -0.6947
data_LiRe2Ru
_cell_length_a 2.659
_cell_length_b 4.023
_cell_length_c 5.104
_cell_angle_alpha 90.00
_cell_angle_beta 100.66
_cell_angle_gamma 90.00
_symmetry_space_group_name_H-M 'P 1 2/m 1'
_symmetry_Int_Tables_number 10
loop_
_symmetry_equiv_pos_as_xyz
'x,y,z'
'-x,-y,-z'
'-x,y,-z'
'x,-y,z'
loop_
_atom_site_label
_atom_site_fract_x
_atom_site_fract_y
_atom_site_fract_z
Li1 0.000 0.000 0.000
Re1 0.470 0.500 0.241
Ru1 0.000 0.000 0.500

***

# 10
# PIN2 | Alexandria | GGA-PBEsol | optimized geometry
# Formation energy from raw total energies (eV/atom): 2.076
# DOS(E_F) (states/eV/cell): 5.75
# Electronic total energy (Ry/atom): -0.2997
data_PIN2
_cell_length_a 5.795
_cell_length_b 5.795
_cell_length_c 5.795
_cell_angle_alpha 90.00
_cell_angle_beta 90.00
_cell_angle_gamma 90.00
_symmetry_space_group_name_H-M 'F m -3 m'
_symmetry_Int_Tables_number 225
_symmetry_space_group_name_Hall '-F 4 2 3'
loop_
_atom_site_label
_atom_site_fract_x
_atom_site_fract_y
_atom_site_fract_z
P1 0.000 0.000 0.000
I1 0.000 0.000 0.500
N1 0.250 0.250 0.250

***

# 11
# InAs3Ir | Alexandria | GGA-PBEsol | optimized geometry
# DFT formation energy (eV/f.u.): 2.7
# DOS(E_F) (states/eV/cell): 5.89
# Electronic total energy (Ry/atom): -0.3741
data_InAs3Ir
_cell_length_a 4.851
_cell_length_b 4.851
_cell_length_c 4.851
_cell_angle_alpha 90.00
_cell_angle_beta 90.00
_cell_angle_gamma 90.00
_symmetry_space_group_name_H-M 'P m -3 m'
_symmetry_Int_Tables_number 221
_symmetry_space_group_name_Hall '-P 4 2 3'
loop_
_atom_site_label
_atom_site_fract_x
_atom_site_fract_y
_atom_site_fract_z
In1 0.000 0.000 0.000
As1 0.000 0.500 0.500
Ir1 0.500 0.500 0.500

***

# 12
# La2CrPt | Alexandria | GGA-PBEsol | optimized geometry
# DFT formation energy (eV/f.u.): -0.7
# DOS(E_F) (states/eV/cell): 10.77
# Electronic total energy (Ry/atom): -0.5263
data_La2CrPt
_cell_length_a 4.2964
_cell_length_b 4.2964
_cell_length_c 19.6830
_cell_angle_alpha 90.00
_cell_angle_beta 90.00
_cell_angle_gamma 120.00
_symmetry_space_group_name_H-M 'R 3 m'
_symmetry_Int_Tables_number 160
_symmetry_space_group_name_Hall 'R 3 -2"'
loop_
_atom_site_label
_atom_site_fract_x
_atom_site_fract_y
_atom_site_fract_z
La1 0.0000 0.0000 0.0000
La2 0.0000 0.0000 0.1917
Cr1 0.0000 0.0000 0.4254
Pt1 0.0000 0.0000 0.7658

***

no.,magnetization (μB/atom)
1,0.00
2,0.18
3,0.00
4,0.00
5,0.00
6,0.00
7,0.26
8,0.00
9,0.00
10,0.00
11,0.00
12,0.51